(1)
Computed, not measured: a geometry-optimized Li2UBiO6 structure at the PBE-GGA level of DFT.

CIF file:
```
data_Li2UBiO6
_symmetry_space_group_name_H-M 'P 1 21/c 1'
_symmetry_Int_Tables_number 14
_symmetry_space_group_name_Hall '-P 2ybc'
_cell_length_a 5.502
_cell_length_b 5.978
_cell_length_c 9.880
_cell_angle_alpha 90.00
_cell_angle_beta 123.61
_cell_angle_gamma 90.00
loop_
_atom_site_label
_atom_site_fract_x
_atom_site_fract_y
_atom_site_fract_z
_atom_site_occupancy
Li1 0.242 0.067 0.250 1
U1 0.000 0.000 0.500 1
Bi1 0.500 0.000 0.000 1
O1 0.102 0.518 0.238 1
O2 0.229 0.201 0.064 1
O3 0.379 0.677 0.068 1
```

## Properties
ΔE_f (raw): -2.149 eV/atom

***

(2)
Computed, not measured: a geometry-optimized BaCrI2 structure at the PBE-GGA level of DFT.

CIF file:
```
data_BaCrI2
_symmetry_space_group_name_H-M 'I -4 2 d'
_symmetry_Int_Tables_number 122
_symmetry_space_group_name_Hall 'I -4 2bw'
_cell_length_a 7.140
_cell_length_b 7.140
_cell_length_c 14.384
_cell_angle_alpha 90.00
_cell_angle_beta 90.00
_cell_angle_gamma 90.00
loop_
_atom_site_label
_atom_site_fract_x
_atom_site_fract_y
_atom_site_fract_z
_atom_site_occupancy
Ba1 0.000 0.000 0.000 1
Cr1 0.000 0.000 0.500 1
I1 0.170 0.250 0.625 1
```

## Properties
ΔE_f (raw): -0.354 eV/atom
excess energy over the best structure of this formula in the dataset: 0.1369 eV/atom

***

(3)
Computed, not measured: a geometry-optimized Li2Hg5Pd2 structure at the PBE-GGA level of DFT.

CIF file:
```
data_Li2Hg5Pd2
_symmetry_space_group_name_H-M 'I m a 2'
_symmetry_Int_Tables_number 46
_symmetry_space_group_name_Hall 'I 2 -2a'
_cell_length_a 17.316
_cell_length_b 7.237
_cell_length_c 5.720
_cell_angle_alpha 90.00
_cell_angle_beta 90.00
_cell_angle_gamma 90.00
loop_
_atom_site_label
_atom_site_fract_x
_atom_site_fract_y
_atom_site_fract_z
_atom_site_occupancy
Li1 0.000 0.000 0.000 1
Li2 0.250 0.250 0.250 1
Hg1 0.075 0.116 0.499 1
Hg2 0.162 0.509 0.500 1
Hg3 0.250 0.594 0.001 1
Pd1 0.065 0.749 0.249 1
```

## Properties
ΔE_f: -0.1789 eV per atom

***

(4)
Computed, not measured: a geometry-optimized MnCrI structure at the PBE-GGA level of DFT.

CIF file:
```
data_MnCrI
_symmetry_space_group_name_H-M 'P -6 m 2'
_symmetry_Int_Tables_number 187
_symmetry_space_group_name_Hall 'P -6 2'
_cell_length_a 3.7551
_cell_length_b 3.7551
_cell_length_c 10.8328
_cell_angle_alpha 90.00
_cell_angle_beta 90.00
_cell_angle_gamma 120.00
loop_
_atom_site_label
_atom_site_fract_x
_atom_site_fract_y
_atom_site_fract_z
_atom_site_occupancy
Mn1 0.0000 0.0000 0.1235 1
Cr1 0.6667 0.3333 0.0000 1
Cr2 0.6667 0.3333 0.5000 1
I1 0.3333 0.6667 0.3102 1
```

## Properties
ΔE_f (raw): 0.540 eV/atom

***

(5)
Computed, not measured: a geometry-optimized Ce3ThPb4 structure at the PBE-GGA level of DFT.

CIF file:
```
data_Ce3ThPb4
_symmetry_space_group_name_H-M 'R -3 m'
_symmetry_Int_Tables_number 166
_symmetry_space_group_name_Hall '-R 3 2"'
_cell_length_a 5.5483
_cell_length_b 5.5483
_cell_length_c 27.4320
_cell_angle_alpha 90.00
_cell_angle_beta 90.00
_cell_angle_gamma 120.00
loop_
_atom_site_label
_atom_site_fract_x
_atom_site_fract_y
_atom_site_fract_z
_atom_site_occupancy
Ce1 0.0000 0.0000 0.0000 1
Ce2 0.0000 0.0000 0.2434 1
Th1 0.0000 0.0000 0.5000 1
Pb1 0.0000 0.0000 0.1226 1
Pb2 0.0000 0.0000 0.3734 1
```

## Properties
ΔE_f: -0.2917 eV per atom

***

(6)
Computed, not measured: a geometry-optimized PmTm4Mg2 structure at the PBE-GGA level of DFT.

CIF file:
```
data_PmTm4Mg2
_symmetry_space_group_name_H-M 'I 4/m m m'
_symmetry_Int_Tables_number 139
_symmetry_space_group_name_Hall '-I 4 2'
_cell_length_a 5.466
_cell_length_b 5.466
_cell_length_c 15.971
_cell_angle_alpha 90.00
_cell_angle_beta 90.00
_cell_angle_gamma 90.00
loop_
_atom_site_label
_atom_site_fract_x
_atom_site_fract_y
_atom_site_fract_z
_atom_site_occupancy
Pm1 0.000 0.000 0.000 1
Tm1 0.000 0.000 0.186 1
Tm2 0.000 0.500 0.000 1
Mg1 0.000 0.000 0.386 1
```

## Properties
ΔE_f: 0.7175 eV per atom
excess energy over the best structure of this formula in the dataset: 0.6769 eV/atom